First-principles (PBE) data for crystalline Ca3Fe at its relaxed geometry, as listed in Alexandria.

a b c (Å): 6.5230 6.5230 6.5230
angles (deg): 116.84 116.84 116.84
Last column: nearest neighbours and their distance in Å.
Fractional coordinates of all 4 atoms:
Ca: 0.0000 0.5000 0.5000  6 Ca 3.42-3.52, 2 Fe 3.42
Ca: 0.5000 0.0000 0.5000  2 Fe 3.42, 6 Ca 3.42-3.52
Ca: 0.5000 0.5000 0.0000  6 Ca 3.42-3.52, 2 Fe 3.42
Fe: 0.0000 0.0000 0.0000  6 Ca 3.42, 2 Fe 3.52

DOS(E_F)   6.5 states/eV/f.u.
Total moment   2.71 μB per cell
Calculated total energy   -3.0486 eV per atom
Crystal system   trigonal
Calculated volume   125.43 Å³/cell